1.
Density functional theory data (GGA-PBE) for an optimized crystal structure of TaTeP4.

Properties
energy: -32.3 eV per cell

```
TaTeP4
1.0
0.0000 3.6813 3.6813
3.6813 0.0000 3.6813
3.6813 3.6813 0.0000
Ta Te P
1 1 4
direct
0.2500 0.2500 0.2500 Ta
0.0000 0.0000 0.0000 Te
0.6212 0.6212 0.6212 P
0.6212 0.6212 0.1364 P
0.6212 0.1364 0.6212 P
0.1364 0.6212 0.6212 P
```

---

2.
Density functional theory data (GGA-PBE) for an optimized crystal structure of Ta2TeP.

Properties
energy above the lowest structure with this stoichiometry: 0.255 eV per atom

```
Ta2TeP
1.0
4.8248 0.0000 0.0000
0.0000 3.5498 0.4901
0.0000 1.1144 5.0567
Ta Te P
2 1 1
direct
0.0000 0.9133 0.0484 Ta
0.5000 0.3560 0.1631 Ta
0.0000 0.2027 0.4689 Te
0.5000 0.0281 0.8195 P
```

---

3.
Density functional theory data (GGA-PBE) for an optimized crystal structure of Ta2TeP.

Properties
energy above the lowest structure with this stoichiometry: 0.337 eV per atom

```
Ta2TeP
1.0
0.0000 3.2757 3.2757
3.2757 0.0000 3.2757
3.2757 3.2757 0.0000
P Te Ta
1 1 2
direct
0.0000 0.0000 0.0000 P
0.5000 0.5000 0.5000 Te
0.2500 0.2500 0.2500 Ta
0.7500 0.7500 0.7500 Ta
```

---

4.
Density functional theory data (GGA-PBE) for an optimized crystal structure of Ta2TeP.

Properties
energy above the lowest structure with this stoichiometry: 0.724 eV per atom

```
Ta2TeP
1.0
-3.8412 -2.7407 1.6828
2.3921 -0.6827 4.3485
-3.9821 4.5584 5.7920
P Te Ta
2 2 4
direct
0.5000 0.5000 0.0000 P
0.2500 0.7500 0.5000 P
0.0000 0.0000 0.0000 Te
0.7500 0.2500 0.5000 Te
0.5410 0.1250 0.2500 Ta
0.2090 0.6250 0.2500 Ta
0.3750 0.4590 0.7500 Ta
0.8750 0.7910 0.7500 Ta
```

---

5.
Density functional theory data (GGA-PBE) for an optimized crystal structure of Ta3Te6P.

Properties
energy: -253.8 eV per cell

```
Ta3Te6P
1.0
-6.2400 -0.9510 -0.4449
1.5584 -5.6442 -9.7918
1.4415 -13.0979 7.7793
P Ta Te
4 12 24
direct
0.5772 0.4279 0.2500 P
0.9228 0.9279 0.7500 P
0.4228 0.5721 0.7500 P
0.0772 0.0721 0.2500 P
0.6722 0.6696 0.2500 Ta
0.8278 0.1696 0.7500 Ta
0.3278 0.3304 0.7500 Ta
0.1722 0.8304 0.2500 Ta
0.9675 0.3123 0.2500 Ta
0.5325 0.8123 0.7500 Ta
0.0325 0.6877 0.7500 Ta
0.4675 0.1877 0.2500 Ta
0.6964 0.9690 0.2500 Ta
0.8036 0.4690 0.7500 Ta
0.3036 0.0310 0.7500 Ta
0.1964 0.5310 0.2500 Ta
0.7944 0.1586 0.1241 Te
0.7056 0.6586 0.8759 Te
0.2056 0.8414 0.6241 Te
0.2944 0.3414 0.3759 Te
0.2056 0.8414 0.8759 Te
0.2944 0.3414 0.1241 Te
0.7944 0.1586 0.3759 Te
0.7056 0.6586 0.6241 Te
0.8537 0.5042 0.1290 Te
0.6463 0.0042 0.8710 Te
0.1463 0.4958 0.6290 Te
0.3537 0.9958 0.3710 Te
0.1463 0.4958 0.8710 Te
0.3537 0.9958 0.1290 Te
0.8537 0.5042 0.3710 Te
0.6463 0.0042 0.6290 Te
0.8503 0.8194 0.1225 Te
0.6497 0.3194 0.8775 Te
0.1497 0.1806 0.6225 Te
0.3503 0.6806 0.3775 Te
0.1497 0.1806 0.8775 Te
0.3503 0.6806 0.1225 Te
0.8503 0.8194 0.3775 Te
0.6497 0.3194 0.6225 Te
```

---

6.
Density functional theory data (GGA-PBE) for an optimized crystal structure of TaTe3P.

Properties
energy above the lowest structure with this stoichiometry: 1.229 eV per atom

```
TaTe3P
1.0
-4.1468 2.1544 -2.0344
2.0303 -0.4829 -4.6498
-2.1583 -4.5937 -0.4653
P Te Ta
1 3 1
direct
0.0000 0.0000 0.0000 P
0.0000 0.5000 0.0000 Te
0.0000 0.0000 0.5000 Te
0.5000 0.0000 0.0000 Te
0.5000 0.5000 0.5000 Ta
```

---

7.
Density functional theory data (GGA-PBE) for an optimized crystal structure of Ta2TeP.

Properties
energy above the lowest structure with this stoichiometry: 0.326 eV per atom

```
Ta2TeP
1.0
1.7670 -2.4756 0.0000
1.7670 2.4756 0.0000
0.0000 0.0000 9.5707
Ta Te P
2 1 1
direct
0.0000 0.0000 0.0035 Ta
0.5000 0.5000 0.7713 Ta
0.0000 0.0000 0.5383 Te
0.5000 0.5000 0.1868 P
```

---

8.
Density functional theory data (GGA-PBE) for an optimized crystal structure of Ta2TeP.

Properties
energy above the lowest structure with this stoichiometry: 0.389 eV per atom

```
Ta2TeP
1.0
-1.6337 2.2341 5.1929
1.6337 -2.2341 5.1929
1.6337 2.2341 -5.1929
Ta Te P
2 1 1
direct
0.0394 0.0394 0.0000 Ta
0.7376 0.2376 0.5000 Ta
0.5000 0.5000 0.0000 Te
0.2230 0.7230 0.5000 P
```

---

Number 1: total moment 0.000 μB per atom. Number 2: total moment 0.000 μB per atom. Number 3: total moment 0.000 μB per atom. Number 4: total moment 0.000 μB per atom. Number 5: total moment 0.000 μB per atom. Number 6: total moment 0.379 μB per atom. Number 7: total moment 0.000 μB per atom. Number 8: total moment 0.000 μB per atom.